! PBE Ga2C3N6, optimized geometry; values from VASP
! SG: C2/m
! Energy relative to the elements, uncorrected: 115 meV per atom
! Crystal system: monoclinic
! Size of the total moment: 0.00 μB/cell
! Energy relative to the lowest polymorph listed for this composition: 101.4 meV per atom
! E_tot: -82.4 eV for the cell shown
&SYSTEM
  ibrav = 0, nat = 11, ntyp = 3
/
ATOMIC_SPECIES
Ga 69.72 Ga.upf
C 12.01 C.upf
N 14.01 N.upf
CELL_PARAMETERS angstrom
10.183 -1.534 0.000
10.183 1.534 0.000
-1.087 0.000 4.920
ATOMIC_POSITIONS crystal
Ga 0.145 0.145 0.026
Ga 0.855 0.855 0.974
C 0.000 0.000 0.000
C 0.331 0.331 0.447
C 0.669 0.669 0.553
N 0.051 0.051 0.912
N 0.327 0.327 0.199
N 0.333 0.333 0.693
N 0.667 0.667 0.307
N 0.673 0.673 0.801
N 0.949 0.949 0.088

=====

! PBE GaC3N, optimized geometry; values from VASP
! SG: Pm-3m
! Energy relative to the elements, uncorrected: 3857 meV per atom
! Crystal system: cubic
! Size of the total moment: 0.00 μB/cell
! Energy relative to the lowest polymorph listed for this composition: 717.3 meV per atom
! E_tot: -19.7 eV for the cell shown
&SYSTEM
  ibrav = 0, nat = 5, ntyp = 3
/
ATOMIC_SPECIES
Ga 69.72 Ga.upf
C 12.01 C.upf
N 14.01 N.upf
CELL_PARAMETERS angstrom
3.945 0.000 0.000
0.000 3.945 0.000
0.000 0.000 3.945
ATOMIC_POSITIONS crystal
Ga 0.000 0.000 0.000
C 0.000 0.000 0.500
C 0.000 0.500 0.000
C 0.500 0.000 0.000
N 0.500 0.500 0.500

=====

! PBE Ga3CN, optimized geometry; values from VASP
! SG: Pm-3m
! Energy relative to the elements, uncorrected: 1276 meV per atom
! Crystal system: cubic
! Size of the total moment: 0.00 μB/cell
! Energy relative to the lowest polymorph listed for this composition: 0.0 meV per atom
! E_tot: -20.2 eV for the cell shown
&SYSTEM
  ibrav = 0, nat = 5, ntyp = 3
/
ATOMIC_SPECIES
Ga 69.72 Ga.upf
C 12.01 C.upf
N 14.01 N.upf
CELL_PARAMETERS angstrom
4.152 0.000 0.000
0.000 4.152 0.000
0.000 0.000 4.152
ATOMIC_POSITIONS crystal
Ga 0.000 0.000 0.500
Ga 0.000 0.500 0.000
Ga 0.500 0.000 0.000
C 0.000 0.000 0.000
N 0.500 0.500 0.500

=====

! PBE GaCN, optimized geometry; values from VASP
! SG: R-3m
! Energy relative to the elements, uncorrected: 419 meV per atom
! Crystal system: trigonal
! Size of the total moment: 0.00 μB/cell
! E_tot: -38.6 eV for the cell shown
&SYSTEM
  ibrav = 0, nat = 6, ntyp = 3
/
ATOMIC_SPECIES
Ga 69.72 Ga.upf
C 12.01 C.upf
N 14.01 N.upf
CELL_PARAMETERS angstrom
1.464 0.845 7.721
-1.464 0.845 7.721
0.000 -1.690 7.721
ATOMIC_POSITIONS crystal
Ga 0.117 0.117 0.117
Ga 0.883 0.883 0.883
C 0.321 0.321 0.321
C 0.679 0.679 0.679
N 0.260 0.260 0.260
N 0.740 0.740 0.740

=====

! PBE GaC3N, optimized geometry; values from VASP
! SG: Pm-3m
! Energy relative to the elements, uncorrected: 3139 meV per atom
! Crystal system: cubic
! Size of the total moment: 0.00 μB/cell
! Energy relative to the lowest polymorph listed for this composition: 0.0 meV per atom
! E_tot: -23.3 eV for the cell shown
&SYSTEM
  ibrav = 0, nat = 5, ntyp = 3
/
ATOMIC_SPECIES
Ga 69.72 Ga.upf
C 12.01 C.upf
N 14.01 N.upf
CELL_PARAMETERS angstrom
3.543 0.000 0.000
0.000 3.543 0.000
0.000 0.000 3.543
ATOMIC_POSITIONS crystal
Ga 0.000 0.000 0.000
C 0.000 0.500 0.500
C 0.500 0.000 0.500
C 0.500 0.500 0.000
N 0.500 0.500 0.500

=====

! PBE NbGaC2N, optimized geometry; values from VASP
! SG: P4/mmm
! Energy relative to the elements, uncorrected: 2103 meV per atom
! Crystal system: tetragonal
! Size of the total moment: 0.00 μB/cell
! E_tot: -29.4 eV for the cell shown
&SYSTEM
  ibrav = 0, nat = 5, ntyp = 4
/
ATOMIC_SPECIES
Nb 92.91 Nb.upf
Ga 69.72 Ga.upf
C 12.01 C.upf
N 14.01 N.upf
CELL_PARAMETERS angstrom
3.979 0.000 0.000
0.000 3.979 0.000
0.000 0.000 3.504
ATOMIC_POSITIONS crystal
Nb 0.000 0.000 0.000
Ga 0.500 0.500 0.000
C 0.000 0.500 0.500
C 0.500 0.000 0.500
N 0.500 0.500 0.500

=====

! PBE GaCN2O, optimized geometry; values from VASP
! SG: P4/mmm
! Energy relative to the elements, uncorrected: 1262 meV per atom
! Crystal system: tetragonal
! Size of the total moment: 0.00 μB/cell
! E_tot: -27.6 eV for the cell shown
&SYSTEM
  ibrav = 0, nat = 5, ntyp = 4
/
ATOMIC_SPECIES
Ga 69.72 Ga.upf
C 12.01 C.upf
N 14.01 N.upf
O 16.00 O.upf
CELL_PARAMETERS angstrom
2.955 0.000 0.000
0.000 2.955 0.000
0.000 0.000 6.197
ATOMIC_POSITIONS crystal
Ga 0.000 0.000 0.000
C 0.500 0.500 0.500
N 0.000 0.500 0.500
N 0.500 0.000 0.500
O 0.500 0.500 0.000

=====

! PBE GaCNO2, optimized geometry; values from VASP
! SG: P4/mmm
! Energy relative to the elements, uncorrected: 716 meV per atom
! Crystal system: tetragonal
! Size of the total moment: 0.15 μB/cell
! E_tot: -26.9 eV for the cell shown
&SYSTEM
  ibrav = 0, nat = 5, ntyp = 4
/
ATOMIC_SPECIES
Ga 69.72 Ga.upf
C 12.01 C.upf
N 14.01 N.upf
O 16.00 O.upf
CELL_PARAMETERS angstrom
4.155 0.000 0.000
0.000 4.155 0.000
0.000 0.000 2.543
ATOMIC_POSITIONS crystal
Ga 0.000 0.000 0.000
C 0.500 0.500 0.500
N 0.500 0.500 0.000
O 0.000 0.500 0.500
O 0.500 0.000 0.500

=====

! PBE Ga2CNO, optimized geometry; values from VASP
! SG: P4/mmm
! Energy relative to the elements, uncorrected: 851 meV per atom
! Crystal system: tetragonal
! Size of the total moment: 0.00 μB/cell
! Energy relative to the lowest polymorph listed for this composition: 0.0 meV per atom
! E_tot: -24.3 eV for the cell shown
&SYSTEM
  ibrav = 0, nat = 5, ntyp = 4
/
ATOMIC_SPECIES
Ga 69.72 Ga.upf
C 12.01 C.upf
N 14.01 N.upf
O 16.00 O.upf
CELL_PARAMETERS angstrom
4.919 0.000 0.000
0.000 4.919 0.000
0.000 0.000 2.580
ATOMIC_POSITIONS crystal
Ga 0.000 0.500 0.000
Ga 0.500 0.000 0.000
C 0.000 0.000 0.000
N 0.000 0.000 0.500
O 0.500 0.500 0.500

=====

! PBE Ga2CNO, optimized geometry; values from VASP
! SG: P4/mmm
! Energy relative to the elements, uncorrected: 926 meV per atom
! Crystal system: tetragonal
! Size of the total moment: 0.05 μB/cell
! Energy relative to the lowest polymorph listed for this composition: 75.0 meV per atom
! E_tot: -23.9 eV for the cell shown
&SYSTEM
  ibrav = 0, nat = 5, ntyp = 4
/
ATOMIC_SPECIES
Ga 69.72 Ga.upf
C 12.01 C.upf
N 14.01 N.upf
O 16.00 O.upf
CELL_PARAMETERS angstrom
5.094 0.000 0.000
0.000 5.094 0.000
0.000 0.000 2.555
ATOMIC_POSITIONS crystal
Ga 0.000 0.500 0.000
Ga 0.500 0.000 0.000
C 0.000 0.000 0.500
N 0.000 0.000 0.000
O 0.500 0.500 0.500

=====

! PBE GaCNO2, optimized geometry; values from VASP
! SG: P4/mmm
! Energy relative to the elements, uncorrected: 1649 meV per atom
! Crystal system: tetragonal
! Size of the total moment: 2.00 μB/cell
! E_tot: -22.2 eV for the cell shown
&SYSTEM
  ibrav = 0, nat = 5, ntyp = 4
/
ATOMIC_SPECIES
Ga 69.72 Ga.upf
C 12.01 C.upf
N 14.01 N.upf
O 16.00 O.upf
CELL_PARAMETERS angstrom
3.842 0.000 0.000
0.000 3.842 0.000
0.000 0.000 3.935
ATOMIC_POSITIONS crystal
Ga 0.000 0.000 0.000
C 0.500 0.500 0.500
N 0.000 0.000 0.500
O 0.000 0.500 0.000
O 0.500 0.000 0.000

=====

! PBE GaCN2O, optimized geometry; values from VASP
! SG: P4/mmm
! Energy relative to the elements, uncorrected: 2376 meV per atom
! Crystal system: tetragonal
! Size of the total moment: 2.88 μB/cell
! E_tot: -22.0 eV for the cell shown
&SYSTEM
  ibrav = 0, nat = 5, ntyp = 4
/
ATOMIC_SPECIES
Ga 69.72 Ga.upf
C 12.01 C.upf
N 14.01 N.upf
O 16.00 O.upf
CELL_PARAMETERS angstrom
3.939 0.000 0.000
0.000 3.939 0.000
0.000 0.000 3.853
ATOMIC_POSITIONS crystal
Ga 0.000 0.000 0.000
C 0.500 0.500 0.500
N 0.000 0.500 0.000
N 0.500 0.000 0.000
O 0.000 0.000 0.500

=====

! PBE GaPdCN2, optimized geometry; values from VASP
! SG: P4/mmm
! Energy relative to the elements, uncorrected: 2126 meV per atom
! Crystal system: tetragonal
! Size of the total moment: 2.41 μB/cell
! E_tot: -23.5 eV for the cell shown
&SYSTEM
  ibrav = 0, nat = 5, ntyp = 4
/
ATOMIC_SPECIES
Ga 69.72 Ga.upf
Pd 106.42 Pd.upf
C 12.01 C.upf
N 14.01 N.upf
CELL_PARAMETERS angstrom
4.126 0.000 0.000
0.000 4.126 0.000
0.000 0.000 3.937
ATOMIC_POSITIONS crystal
Ga 0.000 0.000 0.000
Pd 0.500 0.500 0.500
C 0.500 0.500 0.000
N 0.000 0.500 0.500
N 0.500 0.000 0.500

=====

! PBE GaPt2CN, optimized geometry; values from VASP
! SG: P4/mmm
! Energy relative to the elements, uncorrected: 1561 meV per atom
! Crystal system: tetragonal
! Size of the total moment: 0.00 μB/cell
! E_tot: -24.9 eV for the cell shown
&SYSTEM
  ibrav = 0, nat = 5, ntyp = 4
/
ATOMIC_SPECIES
Ga 69.72 Ga.upf
Pt 195.08 Pt.upf
C 12.01 C.upf
N 14.01 N.upf
CELL_PARAMETERS angstrom
4.196 0.000 0.000
0.000 4.196 0.000
0.000 0.000 3.939
ATOMIC_POSITIONS crystal
Ga 0.000 0.000 0.000
Pt 0.000 0.500 0.500
Pt 0.500 0.000 0.500
C 0.500 0.500 0.000
N 0.000 0.000 0.500

=====

! PBE GaCS2N, optimized geometry; values from VASP
! SG: P4/mmm
! Energy relative to the elements, uncorrected: 617 meV per atom
! Crystal system: tetragonal
! Size of the total moment: 0.00 μB/cell
! Energy relative to the lowest polymorph listed for this composition: 0.0 meV per atom
! E_tot: -25.7 eV for the cell shown
&SYSTEM
  ibrav = 0, nat = 5, ntyp = 4
/
ATOMIC_SPECIES
Ga 69.72 Ga.upf
C 12.01 C.upf
S 32.06 S.upf
N 14.01 N.upf
CELL_PARAMETERS angstrom
5.851 0.000 0.000
0.000 5.851 0.000
0.000 0.000 2.440
ATOMIC_POSITIONS crystal
Ga 0.000 0.000 0.000
C 0.500 0.500 0.500
S 0.000 0.500 0.500
S 0.500 0.000 0.500
N 0.500 0.500 0.000

=====

! PBE GaCS2N, optimized geometry; values from VASP
! SG: P4/mmm
! Energy relative to the elements, uncorrected: 2094 meV per atom
! Crystal system: tetragonal
! Size of the total moment: 1.97 μB/cell
! Energy relative to the lowest polymorph listed for this composition: 1476.7 meV per atom
! E_tot: -18.4 eV for the cell shown
&SYSTEM
  ibrav = 0, nat = 5, ntyp = 4
/
ATOMIC_SPECIES
Ga 69.72 Ga.upf
C 12.01 C.upf
S 32.06 S.upf
N 14.01 N.upf
CELL_PARAMETERS angstrom
4.832 0.000 0.000
0.000 4.832 0.000
0.000 0.000 3.718
ATOMIC_POSITIONS crystal
Ga 0.000 0.000 0.000
C 0.500 0.500 0.500
S 0.000 0.500 0.000
S 0.500 0.000 0.000
N 0.000 0.000 0.500

=====

! PBE GaCSe2N, optimized geometry; values from VASP
! SG: P4/mmm
! Energy relative to the elements, uncorrected: 2016 meV per atom
! Crystal system: tetragonal
! Size of the total moment: 0.00 μB/cell
! Energy relative to the lowest polymorph listed for this composition: 1489.0 meV per atom
! E_tot: -17.5 eV for the cell shown
&SYSTEM
  ibrav = 0, nat = 5, ntyp = 4
/
ATOMIC_SPECIES
Ga 69.72 Ga.upf
C 12.01 C.upf
Se 78.96 Se.upf
N 14.01 N.upf
CELL_PARAMETERS angstrom
5.084 0.000 0.000
0.000 5.084 0.000
0.000 0.000 3.571
ATOMIC_POSITIONS crystal
Ga 0.000 0.000 0.000
C 0.500 0.500 0.500
Se 0.000 0.500 0.000
Se 0.500 0.000 0.000
N 0.000 0.000 0.500

=====

! PBE GaCSeN2, optimized geometry; values from VASP
! SG: P4/mmm
! Energy relative to the elements, uncorrected: 2101 meV per atom
! Crystal system: tetragonal
! Size of the total moment: 1.21 μB/cell
! Energy relative to the lowest polymorph listed for this composition: 0.0 meV per atom
! E_tot: -21.9 eV for the cell shown
&SYSTEM
  ibrav = 0, nat = 5, ntyp = 4
/
ATOMIC_SPECIES
Ga 69.72 Ga.upf
C 12.01 C.upf
Se 78.96 Se.upf
N 14.01 N.upf
CELL_PARAMETERS angstrom
3.618 0.000 0.000
0.000 3.618 0.000
0.000 0.000 4.314
ATOMIC_POSITIONS crystal
Ga 0.000 0.000 0.000
C 0.500 0.500 0.500
Se 0.500 0.500 0.000
N 0.000 0.500 0.500
N 0.500 0.000 0.500

=====

! PBE GaCSeN2, optimized geometry; values from VASP
! SG: P4/mmm
! Energy relative to the elements, uncorrected: 2330 meV per atom
! Crystal system: tetragonal
! Size of the total moment: 1.12 μB/cell
! Energy relative to the lowest polymorph listed for this composition: 229.0 meV per atom
! E_tot: -20.7 eV for the cell shown
&SYSTEM
  ibrav = 0, nat = 5, ntyp = 4
/
ATOMIC_SPECIES
Ga 69.72 Ga.upf
C 12.01 C.upf
Se 78.96 Se.upf
N 14.01 N.upf
CELL_PARAMETERS angstrom
3.562 0.000 0.000
0.000 3.562 0.000
0.000 0.000 7.722
ATOMIC_POSITIONS crystal
Ga 0.000 0.000 0.000
C 0.500 0.500 0.500
Se 0.000 0.000 0.500
N 0.000 0.500 0.000
N 0.500 0.000 0.000

=====

! PBE GaCSe2N, optimized geometry; values from VASP
! SG: P4/mmm
! Energy relative to the elements, uncorrected: 527 meV per atom
! Crystal system: tetragonal
! Size of the total moment: 0.00 μB/cell
! Energy relative to the lowest polymorph listed for this composition: 0.0 meV per atom
! E_tot: -24.9 eV for the cell shown
&SYSTEM
  ibrav = 0, nat = 5, ntyp = 4
/
ATOMIC_SPECIES
Ga 69.72 Ga.upf
C 12.01 C.upf
Se 78.96 Se.upf
N 14.01 N.upf
CELL_PARAMETERS angstrom
6.130 0.000 0.000
0.000 6.130 0.000
0.000 0.000 2.503
ATOMIC_POSITIONS crystal
Ga 0.000 0.000 0.000
C 0.500 0.500 0.500
Se 0.000 0.500 0.500
Se 0.500 0.000 0.500
N 0.500 0.500 0.000

=====

The records above give, respectively, N(E_F) values of 1.89; 2.94; 1.33; 0.43; 2.55; 3.83; 2.82; 1.75; 1.87; 2.30; 1.89; 2.62; 2.54; 1.98; 1.85; 1.48; 5.48; 2.78; 3.77; 1.23 states/eV/f.u..
The records above give, respectively, calculated density values of 2.8; 3.2; 5.5; 5.5; 4.5; 6.0; 3.9; 4.8; 4.8; 4.5; 3.7; 3.5; 5.4; 11.6; 3.2; 3.1; 4.6; 5.5; 3.2; 4.5 g/cm3.